[1]
A plane-wave DFT calculation with GGA-PBE was carried out for crystalline La2YGe3Pt4 at its relaxed geometry.

## Properties
mass density	10.6	g/cm3
total DFT energy (no corrections)	-6.4321	eV per atom
ΔE_f	-964	kJ/mol of formula units

```
La2YGe3Pt4
1.0
4.375 0.000 0.000
0.000 4.375 0.000
0.000 0.000 11.135
Pt Ge La Y
4 3 2 1
Cartesian
2.187 0.000 7.318
2.187 2.187 0.000
0.000 2.187 3.817
0.000 0.000 0.000
2.187 0.000 9.805
0.000 2.187 1.330
0.000 0.000 5.567
0.000 2.187 8.627
2.187 0.000 2.508
2.187 2.187 5.567
```

***

[2]
A plane-wave DFT calculation with GGA-PBE was carried out for crystalline CsTbIrO6 at its relaxed geometry.

## Properties
mass density	5.2	g/cm3
E_form (uncorrected)	-1.46	eV per atom
total DFT energy (no corrections)	-6.3641	eV per atom

```
CsTbIrO6
1.0
-5.255 1.884 -1.053
-4.471 -3.377 0.940
-0.420 2.270 6.150
O Tb Cs Ir
6 1 1 1
Cartesian
-2.391 2.033 3.766
-3.174 -0.394 4.607
-3.460 1.710 1.471
-2.005 -0.373 2.338
-4.681 -0.560 2.224
-5.001 1.408 3.818
-6.694 0.139 3.000
-10.146 0.777 6.037
-3.452 0.637 3.037
```

***

[3]
A plane-wave DFT calculation with GGA-PBE was carried out for crystalline Sm4ErIn3 at its relaxed geometry.

## Properties
mass density	7.9	g/cm3
total DFT energy (no corrections)	-4.2835	eV per atom
ΔE_f	-252	kJ/mol of formula units

```
Sm4ErIn3
1.0
0.557 5.190 1.556
-0.330 1.312 5.276
9.043 0.945 3.143
Er Sm In
1 4 3
Cartesian
0.000 0.000 0.000
7.795 3.293 5.293
5.539 1.423 2.805
1.474 4.154 4.683
3.731 6.025 7.171
4.635 3.724 4.988
7.217 5.550 7.507
2.053 1.898 2.468
```

***

[4]
A plane-wave DFT calculation with GGA-PBE was carried out for crystalline In3SO at its relaxed geometry.

## Properties
mass density	5.6	g/cm3
E_form (uncorrected)	-0.19	eV per atom
total DFT energy (no corrections)	-3.6472	eV per atom

```
In3SO
1.0
4.887 0.000 0.000
0.000 4.887 0.000
0.000 0.000 4.887
O S In
1 1 3
Cartesian
0.000 0.000 0.000
2.443 2.443 2.443
0.000 0.000 2.443
2.443 0.000 0.000
0.000 2.443 0.000
```

***

[5]
A plane-wave DFT calculation with GGA-PBE was carried out for crystalline Fe2NiHgN at its relaxed geometry.

## Properties
mass density	10.7	g/cm3
E_form (uncorrected)	0.04	eV per atom
total DFT energy (no corrections)	-6.2221	eV per atom

```
Fe2NiHgN
1.0
3.884 0.000 0.000
0.000 3.884 0.000
0.000 0.000 3.970
Hg Fe N Ni
1 2 1 1
Cartesian
1.942 1.942 1.985
1.942 0.000 0.000
0.000 1.942 0.000
0.000 0.000 0.000
0.000 0.000 1.985
```

***

[6]
A plane-wave DFT calculation with GGA-PBE was carried out for crystalline LiSi2P at its relaxed geometry.

## Properties
mass density	2.7	g/cm3
E_form (uncorrected)	0.16	eV per atom
total DFT energy (no corrections)	-4.3810	eV per atom

```
LiSi2P
1.0
-1.478 -2.748 -4.157
1.942 -4.707 -1.046
-2.066 2.671 3.952
Si P Li
2 1 1
Cartesian
0.000 0.000 0.000
0.232 -3.728 -2.601
-1.656 -1.902 -1.403
0.054 -2.882 0.153
```

***

[7]
A plane-wave DFT calculation with GGA-PBE was carried out for crystalline CdAg2Cl at its relaxed geometry.

## Properties
mass density	7.5	g/cm3
E_form (uncorrected)	-0.04	eV per atom
total DFT energy (no corrections)	-2.1563	eV per atom

```
CdAg2Cl
1.0
5.242 -0.003 0.000
-1.919 4.878 0.000
0.000 0.000 3.164
Cl Ag Cd
1 2 1
Cartesian
-0.960 2.439 1.582
1.661 2.437 0.000
0.000 0.000 0.000
2.621 -0.002 1.582
```

***

[8]
A plane-wave DFT calculation with GGA-PBE was carried out for crystalline AcSm2Dy5Y at its relaxed geometry.

## Properties
mass density	7.8	g/cm3
total DFT energy (no corrections)	-4.5175	eV per atom
ΔE_f	228	kJ/mol of formula units

```
AcSm2Dy5Y
1.0
-3.404 -4.322 7.003
8.223 -2.081 2.713
-2.132 9.697 -0.714
Dy Sm Y Ac
10 4 2 2
Cartesian
2.409 -3.202 4.858
-2.491 3.954 4.558
5.177 -0.660 4.443
2.900 5.637 1.560
-0.213 -2.343 7.442
0.000 0.000 0.000
-1.511 6.298 0.818
1.920 3.293 5.299
0.767 0.001 3.702
4.197 -3.004 8.183
5.965 -3.504 5.094
2.048 -5.104 7.865
-1.147 -2.899 4.621
2.771 -1.299 1.851
4.250 2.207 3.428
-1.564 1.087 5.573
0.139 3.248 2.072
2.548 0.046 6.930
```

***

[9]
A plane-wave DFT calculation with GGA-PBE was carried out for crystalline Y2Tm3Os2 at its relaxed geometry.

## Properties
mass density	10.0	g/cm3
total DFT energy (no corrections)	-7.2462	eV per atom
ΔE_f	-185	kJ/mol of formula units

```
Y2Tm3Os2
1.0
-3.570 -1.655 -0.640
3.074 0.231 -5.330
2.219 -6.529 4.504
Os Tm Y
2 3 2
Cartesian
0.795 -6.333 -0.480
0.928 -1.620 -0.986
-1.785 -0.827 -0.320
-0.505 -3.790 0.196
2.227 -4.163 -1.662
2.221 -5.493 1.814
-0.498 -2.460 -3.280
```

***

[10]
A plane-wave DFT calculation with GGA-PBE was carried out for crystalline Bi2BOs at its relaxed geometry.

## Properties
mass density	10.3	g/cm3
total DFT energy (no corrections)	-5.1893	eV per atom
ΔE_f	474	kJ/mol of formula units

```
Bi2BOs
1.0
6.010 0.000 0.000
0.000 6.010 0.000
3.005 3.005 5.513
Bi B Os
4 2 2
Cartesian
1.717 4.508 1.378
4.293 1.503 1.378
4.508 4.722 4.134
7.513 7.298 4.134
3.005 6.010 2.756
3.005 3.005 0.000
6.010 3.005 2.756
0.000 0.000 0.000
```

***

[11]
A plane-wave DFT calculation with GGA-PBE was carried out for crystalline Tb4NdAl3 at its relaxed geometry.

## Properties
mass density	6.6	g/cm3
total DFT energy (no corrections)	-4.4479	eV per atom
ΔE_f	-103	kJ/mol of formula units

```
Tb4NdAl3
1.0
-0.677 -2.764 -1.870
7.258 1.179 -4.371
0.383 -3.459 8.073
Tb Nd Al
4 1 3
Cartesian
5.739 -1.756 -2.582
2.905 -2.217 -0.876
4.058 -2.827 2.708
1.224 -3.287 4.414
-0.339 -1.382 -0.935
1.357 -1.571 1.830
3.629 0.590 -2.185
5.606 -3.473 0.002
```

***

[12]
A plane-wave DFT calculation with GGA-PBE was carried out for crystalline Zn2AgSn2 at its relaxed geometry.

## Properties
mass density	6.8	g/cm3
total DFT energy (no corrections)	-2.4160	eV per atom
ΔE_f	128	kJ/mol of formula units

```
Zn2AgSn2
1.0
4.310 0.000 0.000
0.000 4.310 0.000
2.155 2.155 6.232
Zn Ag Sn
2 1 2
Cartesian
4.310 4.310 5.046
2.155 2.155 1.186
0.000 0.000 0.000
2.155 4.310 3.116
4.310 2.155 3.116
```

***

[13]
A plane-wave DFT calculation with GGA-PBE was carried out for crystalline NaAgGe2Se at its relaxed geometry.

## Properties
mass density	4.6	g/cm3
E_form (uncorrected)	0.33	eV per atom
total DFT energy (no corrections)	-3.0446	eV per atom

```
NaAgGe2Se
1.0
4.924 0.000 0.000
0.000 5.324 0.000
0.000 0.000 4.924
Se Ag Na Ge
1 1 1 2
Cartesian
2.462 2.662 2.462
0.000 0.000 0.000
0.000 2.662 0.000
0.000 0.000 2.462
2.462 0.000 0.000
```

***

[14]
A plane-wave DFT calculation with GGA-PBE was carried out for crystalline BaHgW at its relaxed geometry.

## Properties
mass density	8.5	g/cm3
total DFT energy (no corrections)	-3.6538	eV per atom
ΔE_f	407	kJ/mol of formula units

```
BaHgW
1.0
5.235 0.000 0.000
2.617 4.533 0.000
2.617 1.511 4.274
Ba Hg W
1 1 1
Cartesian
5.235 3.022 2.137
7.852 4.533 3.206
0.000 0.000 0.000
```

***

[15]
A plane-wave DFT calculation with GGA-PBE was carried out for crystalline Be2SiBr at its relaxed geometry.

## Properties
mass density	3.1	g/cm3
E_form (uncorrected)	0.43	eV per atom
total DFT energy (no corrections)	-3.2070	eV per atom

```
Be2SiBr
1.0
-2.949 0.255 1.219
-0.484 -3.121 -0.519
2.386 -1.379 6.063
Si Be Br
1 2 1
Cartesian
0.393 -2.652 5.711
-1.194 -1.735 1.679
0.026 -0.015 0.066
0.921 -0.532 2.339
```

***

[16]
A plane-wave DFT calculation with GGA-PBE was carried out for crystalline KSi at its relaxed geometry.

## Properties
mass density	1.4	g/cm3
E_form (uncorrected)	0.03	eV per atom
total DFT energy (no corrections)	-3.2292	eV per atom

```
KSi
1.0
12.652 0.000 0.000
0.000 12.652 0.000
0.000 0.000 3.940
Si K
8 8
Cartesian
1.159 6.326 1.970
6.326 11.494 1.970
6.326 1.159 1.970
6.326 10.228 0.000
11.494 6.326 1.970
2.424 6.326 0.000
6.326 2.424 0.000
10.228 6.326 0.000
4.162 8.490 1.970
4.162 4.162 1.970
0.000 9.011 0.000
0.000 3.641 0.000
8.490 8.490 1.970
9.011 0.000 0.000
3.641 0.000 0.000
8.490 4.162 1.970
```

***

[17]
A plane-wave DFT calculation with GGA-PBE was carried out for crystalline Be2InHg at its relaxed geometry.

## Properties
mass density	8.3	g/cm3
total DFT energy (no corrections)	-1.9872	eV per atom
ΔE_f	245	kJ/mol of formula units

```
Be2InHg
1.0
5.081 0.047 0.000
1.940 4.696 0.000
-3.511 -2.372 2.805
Hg Be In
1 2 1
Cartesian
3.511 2.372 0.000
0.970 2.348 1.403
0.000 0.000 0.000
2.541 0.024 1.403
```

***

[18]
A plane-wave DFT calculation with GGA-PBE was carried out for crystalline TaNi2Pt5 at its relaxed geometry.

## Properties
mass density	17.5	g/cm3
total DFT energy (no corrections)	-6.9358	eV per atom
ΔE_f	-180	kJ/mol of formula units

```
TaNi2Pt5
1.0
6.637 0.000 0.000
0.000 6.637 0.000
-3.319 -3.319 5.493
Pt Ni Ta
10 4 2
Cartesian
4.330 1.011 3.755
3.319 3.319 0.000
0.000 0.000 0.000
2.307 -1.011 3.755
1.011 2.307 3.755
-1.011 2.307 1.737
-1.011 4.330 3.755
1.011 4.330 1.737
4.330 -1.011 1.737
2.307 1.011 1.737
4.243 0.925 0.000
2.394 5.712 0.000
0.925 2.394 0.000
5.712 4.243 0.000
0.000 0.000 2.746
3.319 3.319 2.746
```

***

[19]
A plane-wave DFT calculation with GGA-PBE was carried out for crystalline CaSi3Ni3 at its relaxed geometry.

## Properties
mass density	4.0	g/cm3
E_form (uncorrected)	-0.24	eV per atom
total DFT energy (no corrections)	-5.3303	eV per atom

```
CaSi3Ni3
1.0
-5.552 -2.588 1.352
0.697 -3.996 -4.785
2.835 -4.085 3.824
Ni Si Ca
6 6 2
Cartesian
-3.815 -3.939 -1.379
-2.067 -2.315 1.632
-1.039 -2.645 -2.054
1.940 -5.039 -1.677
1.592 -3.041 0.716
-0.650 -4.357 3.544
-2.602 -2.293 -0.520
-2.253 -4.290 -2.913
1.057 -3.019 -1.436
2.475 -5.061 0.476
0.030 -2.689 2.250
-2.746 -3.983 2.926
-1.010 -5.334 0.195
0.000 0.000 0.000
```

***

[20]
A plane-wave DFT calculation with GGA-PBE was carried out for crystalline LaAs2W at its relaxed geometry.

## Properties
mass density	9.2	g/cm3
total DFT energy (no corrections)	-6.8823	eV per atom
ΔE_f	-34	kJ/mol of formula units

```
LaAs2W
1.0
3.477 0.000 0.000
0.000 3.477 0.000
0.000 0.000 7.042
La As W
1 2 1
Cartesian
0.000 0.000 3.451
1.739 1.739 1.503
0.000 0.000 6.730
1.739 1.739 5.920
```

***

[21]
A plane-wave DFT calculation with GGA-PBE was carried out for crystalline Cu3BH at its relaxed geometry.

## Properties
mass density	7.4	g/cm3
total DFT energy (no corrections)	-3.9373	eV per atom

```
Cu3BH
1.0
-0.330 -3.309 -1.274
-0.528 -1.219 3.304
-3.506 0.495 -0.378
B Cu H
1 3 1
Cartesian
-2.182 -2.017 0.826
-1.753 0.247 -0.189
-0.165 -1.655 -0.637
-0.264 -0.609 1.652
0.000 0.000 0.000
```

***

[22]
A plane-wave DFT calculation with GGA-PBE was carried out for crystalline ScCd2Fe at its relaxed geometry.

## Properties
mass density	6.5	g/cm3
total DFT energy (no corrections)	-3.8073	eV per atom
ΔE_f	135	kJ/mol of formula units

```
ScCd2Fe
1.0
-2.267 -3.122 1.089
3.075 -2.476 -0.696
3.533 -1.660 9.974
Cd Sc Fe
4 2 2
Cartesian
3.400 -6.178 7.815
2.554 -2.309 2.179
2.910 -3.310 7.637
-0.181 -2.719 3.102
0.404 -2.799 0.197
3.506 -3.467 4.737
0.835 -3.790 5.630
0.000 0.000 0.000
```

***

[23]
A plane-wave DFT calculation with GGA-PBE was carried out for crystalline Tm2Cd3Ni2 at its relaxed geometry.

## Properties
mass density	9.2	g/cm3
total DFT energy (no corrections)	-3.6995	eV per atom
ΔE_f	-255	kJ/mol of formula units

```
Tm2Cd3Ni2
1.0
-2.514 2.224 -1.366
-0.298 -2.266 -3.141
-7.167 -4.304 6.188
Ni Cd Tm
2 3 2
Cartesian
-4.537 -2.348 -0.277
-5.442 -1.998 1.958
0.000 0.000 0.000
-7.414 -3.463 3.203
-2.566 -0.883 -1.521
-4.917 -4.676 1.439
-2.548 -1.894 1.608
```

***

[24]
A plane-wave DFT calculation with GGA-PBE was carried out for crystalline Nd6Ni2Br3N at its relaxed geometry.

## Properties
mass density	6.7	g/cm3
E_form (uncorrected)	-0.95	eV per atom
total DFT energy (no corrections)	-5.4088	eV per atom

```
Nd6Ni2Br3N
1.0
6.789 0.005 0.006
-3.388 5.883 0.006
-1.129 -1.954 7.650
Nd Br N Ni
6 3 1 2
Cartesian
-0.087 -0.151 6.159
2.360 4.086 1.502
3.312 2.128 6.181
-1.039 1.806 1.480
0.188 3.932 6.181
2.084 0.002 1.480
-2.210 3.900 3.830
1.136 1.967 3.830
4.483 0.034 3.830
0.000 0.000 0.000
0.015 3.918 0.006
3.386 1.971 0.006
```